First-principles (GGA-PBE) data for RbBiTe2N after structural relaxation, as listed in the Alexandria database.

Cell lengths 6.310, 6.310, 4.939 Å; angles 90.00, 90.00, 90.00 degrees
Element x y z (fractional)
Rb1 0.000 0.000 0.000
Bi1 0.500 0.500 0.500
Te1 0.000 0.500 0.000
Te2 0.500 0.000 0.000
N1 0.000 0.000 0.500

Values from the calculation:
**E_form (uncorrected)**: 1453 meV per atom
**Energy above the lowest structure with this stoichiometry**: 1006.8 meV/atom